First-principles (PBE-GGA) data for an optimized crystal structure of SbPCl2, as listed in the Alexandria database.

Lattice parameters (Å, degrees): 4.0034 4.0034 7.6623 90.00 90.00 90.00
Fractional positions:
Sb 0.0000 0.0000 0.0000
P 0.5000 0.5000 0.0129
Cl 0.0000 0.0000 0.6903
Cl 0.5000 0.5000 0.2861

- ρ: 3.02 g/cm3
- Final energy: -3.69 eV per atom
- Formation energy without anion corrections: -1.5 eV per formula unit
- Crystal system: tetragonal